Material: KTl2WO6
Method: DFT, PBE with a Hubbard U
State: relaxed

abc: 6.425 6.425 6.425
angles: 54.43 54.43 54.43
Element x y z (fractional)
K 0.000 0.000 0.000
Tl 0.218 0.218 0.218
Tl 0.727 0.727 0.727
W 0.519 0.519 0.519
O 0.199 0.422 0.762
O 0.368 0.879 0.556
O 0.422 0.762 0.199
O 0.556 0.368 0.879
O 0.762 0.199 0.422
O 0.879 0.556 0.368

Output
symmetry = R3, No. 146
raw total energy = -56.096 eV for the cell shown
total moment = 0.000 μB per formula unit
theoretical density = 7.40 g/cm³
volume = 16.32 Å³/atom